Record 1
Computed, not measured: a relaxed structure of TaH2Pd8 at the PBE level of DFT.

Cell: 6.533 6.533 4.705 Å, 91.68 91.68 49.26°
Fractional coordinates of all 11 atoms:
Ta 0.000 0.000 0.000
H 0.250 0.250 0.766
H 0.750 0.750 0.234
Pd 0.130 0.643 0.373
Pd 0.204 0.204 0.138
Pd 0.357 0.870 0.627
Pd 0.403 0.403 0.855
Pd 0.597 0.597 0.145
Pd 0.643 0.130 0.373
Pd 0.796 0.796 0.862
Pd 0.870 0.357 0.627

Summary:
The value obtained for the total magnetization is 0.00 Bohr magnetons per cell. The density of states at the Fermi level comes out at 4.7 states/eV per cell. For the final energy, the calculation gives -5.558 eV per atom.

---

Record 2
Computed, not measured: a relaxed structure of TaH2Pd at the PBE level of DFT.

Cell: 5.436 5.436 5.436 Å, 31.89 31.89 31.89°
Fractional coordinates of all 4 atoms:
Ta 0.000 0.000 0.000
H 0.393 0.393 0.393
H 0.603 0.603 0.603
Pd 0.821 0.821 0.821

Summary:
The value obtained for the total magnetization is 0.00 Bohr magnetons per cell. The density of states at the Fermi level comes out at 1.2 states/eV per cell. For the final energy, the calculation gives -6.041 eV per atom. As for the excess energy over the best structure of this formula in the dataset: 0 meV per atom.